Entry 1:
Density functional theory data (PBE-GGA) for a relaxed structure of LaAlCuAu6.

a = 8.147 Å, b = 8.571 Å, c = 8.385 Å
α = 120.74°, β = 119.07°, γ = 90.00°
Element x y z (fractional)
1 La 0.876 0.626 0.753
2 La 0.124 0.374 0.247
3 Al 0.500 0.500 0.000
4 Al 0.500 0.000 0.000
5 Cu 0.500 0.000 0.500
6 Cu 0.000 0.000 0.500
7 Au 0.386 0.636 0.771
8 Au 0.875 0.125 0.750
9 Au 0.874 0.118 0.254
10 Au 0.381 0.636 0.254
11 Au 0.381 0.118 0.254
12 Au 0.874 0.636 0.254
13 Au 0.614 0.364 0.229
14 Au 0.125 0.875 0.250
15 Au 0.126 0.882 0.746
16 Au 0.619 0.364 0.746
17 Au 0.619 0.882 0.746
18 Au 0.126 0.364 0.746

Output
Crystal system: orthorhombic
Calculated total energy (hartree per atom): -0.1380
Space-group type: Imma (74)
Size of the total moment (μB per formula unit): 0.000


Entry 2:
Density functional theory data (PBE-GGA) for a relaxed structure of NiHgIr2.

a = 4.842 Å, b = 4.842 Å, c = 2.822 Å
α = 90.00°, β = 90.00°, γ = 111.80°
Element x y z (fractional)
1 Hg 0.000 0.500 0.500
2 Ir 0.000 0.000 0.000
3 Ir 0.500 0.500 0.000
4 Ni 0.500 0.000 0.500

Output
Crystal system: orthorhombic
Calculated total energy (hartree per atom): -0.1989
Space-group type: Cmmm (65)
Size of the total moment (μB per formula unit): 0.002


Entry 3:
Density functional theory data (PBE-GGA) for a relaxed structure of Ti3ReO.

a = 4.746 Å, b = 4.746 Å, c = 4.746 Å
α = 90.00°, β = 90.00°, γ = 90.00°
Site moments in Bohr magnetons follow the coordinates.
Element x y z (fractional)
1 Re 0.000 0.000 0.000  -0.15
2 O 0.500 0.500 0.500  -0.14
3 Ti 0.000 0.500 0.000  0.33
4 Ti 0.000 0.000 0.500  0.28
5 Ti 0.500 0.000 0.000  0.43

Output
Crystal system: cubic
Relative energy among the computed polymorphs (eV per formula unit): 10.12
Space-group type: Pm-3m (221)
Raw formation energy (eV per atom): 0.9582
Size of the total moment (μB per formula unit): 1.057


Entry 4:
Density functional theory data (PBE-GGA) for a relaxed structure of KMg2Ti.

a = 8.637 Å, b = 8.637 Å, c = 6.971 Å
α = 51.72°, β = 51.72°, γ = 90.00°
Site moments in Bohr magnetons follow the coordinates.
Element x y z (fractional)
1 K 0.500 0.500 0.000  0.03
2 K 0.250 0.750 0.500  0.03
3 Mg 0.665 0.125 0.250  0.01
4 Mg 0.085 0.625 0.250  0.01
5 Mg 0.375 0.335 0.750  0.01
6 Mg 0.875 0.915 0.750  0.01
7 Ti 0.000 0.000 0.000  1.76
8 Ti 0.750 0.250 0.500  1.78

Output
Crystal system: tetragonal
Relative energy among the computed polymorphs (eV per formula unit): 0.55
Space-group type: I-42d (122)
Size of the total moment (μB per formula unit): 2.709


Entry 5:
Density functional theory data (PBE-GGA) for a relaxed structure of RbHfB3.

a = 4.719 Å, b = 4.719 Å, c = 4.719 Å
α = 90.00°, β = 90.00°, γ = 90.00°
Site moments in Bohr magnetons follow the coordinates.
Element x y z (fractional)
1 B 0.000 0.500 0.000  0.08
2 B 0.000 0.000 0.500  0.05
3 B 0.500 0.000 0.000  0.05
4 Hf 0.000 0.000 0.000  0.12
5 Rb 0.500 0.500 0.500  0.01

Output
Crystal system: cubic
Relative energy among the computed polymorphs (eV per formula unit): 0.00
Space-group type: Pm-3m (221)
Size of the total moment (μB per formula unit): 0.595


Entry 6:
Density functional theory data (PBE-GGA) for a relaxed structure of K3CaPCO7.

a = 7.301 Å, b = 5.767 Å, c = 9.882 Å
α = 89.25°, β = 90.00°, γ = 90.00°
Element x y z (fractional)
1 K 0.250 0.758 0.922
2 K 0.008 0.258 0.734
3 K 0.492 0.258 0.734
4 K 0.508 0.742 0.266
5 K 0.992 0.742 0.266
6 K 0.750 0.242 0.078
7 Ca 0.750 0.777 0.635
8 Ca 0.250 0.223 0.365
9 P 0.250 0.713 0.585
10 P 0.750 0.287 0.415
11 C 0.750 0.746 0.924
12 C 0.250 0.254 0.076
13 O 0.250 0.265 0.945
14 O 0.750 0.947 0.861
15 O 0.750 0.556 0.852
16 O 0.076 0.770 0.670
17 O 0.424 0.770 0.670
18 O 0.250 0.448 0.553
19 O 0.750 0.146 0.551
20 O 0.250 0.854 0.449
21 O 0.750 0.552 0.447
22 O 0.576 0.230 0.330
23 O 0.924 0.230 0.330
24 O 0.250 0.444 0.148
25 O 0.250 0.053 0.139
26 O 0.750 0.735 0.055

Output
Crystal system: monoclinic
Space-group type: P2_1/m (11)
Raw formation energy (eV per atom): -2.2566
Size of the total moment (μB per formula unit): 0.000


Number 1: theoretical density 11.29 g cm⁻³. Number 2: theoretical density 17.40 g cm⁻³. Number 3: theoretical density 5.37 g cm⁻³. Number 4: theoretical density 1.80 g cm⁻³. Number 5: theoretical density 4.68 g cm⁻³. Number 6: theoretical density 2.49 g cm⁻³.